No. 1
Entry from Alexandria: a relaxed SrBeGaAu3 crystal (GGA-PBE).

Values from the calculation:
As for the energy of formation from the pure elements: -0.41 eV/atom. As for the symmetry: Cmcm, No. 63. The spin magnetization is 0.0000 μB/atom.

```
data_SrBeGaAu3
_chemical_formula_sum 'Sr2 Be2 Ga2 Au6'
_symmetry_space_group_name_H-M 'P 1'
_symmetry_Int_Tables_number 1
_cell_length_a 6.8435
_cell_length_b 6.8435
_cell_length_c 6.5958
_cell_angle_alpha 90.00
_cell_angle_beta 90.00
_cell_angle_gamma 124.16
loop_
_symmetry_equiv_pos_as_xyz
'x,y,z'
loop_
_atom_site_label
_atom_site_type_symbol
_atom_site_fract_x
_atom_site_fract_y
_atom_site_fract_z
Sr1 Sr 0.2256 0.7744 0.7500
Sr2 Sr 0.7744 0.2256 0.2500
Be1 Be 0.4927 0.5073 0.7500
Be2 Be 0.5073 0.4927 0.2500
Ga1 Ga 0.1078 0.8922 0.2500
Ga2 Ga 0.8922 0.1078 0.7500
Au1 Au 0.2486 0.2486 0.0000
Au2 Au 0.2486 0.2486 0.5000
Au3 Au 0.3160 0.6840 0.2500
Au4 Au 0.6840 0.3160 0.7500
Au5 Au 0.7514 0.7514 0.0000
Au6 Au 0.7514 0.7514 0.5000
```

No. 2
Entry from Alexandria: a relaxed TbBeGa2Au4 crystal (GGA-PBE).

Values from the calculation:
As for the energy of formation from the pure elements: -0.39 eV/atom. As for the symmetry: R-3m, No. 166. The spin magnetization is 0.0000 μB/atom.

```
data_TbBeGa2Au4
_chemical_formula_sum 'Tb1 Be1 Ga2 Au4'
_symmetry_space_group_name_H-M 'P 1'
_symmetry_Int_Tables_number 1
_cell_length_a 8.9041
_cell_length_b 8.9041
_cell_length_c 8.9041
_cell_angle_alpha 28.83
_cell_angle_beta 28.83
_cell_angle_gamma 28.83
loop_
_symmetry_equiv_pos_as_xyz
'x,y,z'
loop_
_atom_site_label
_atom_site_type_symbol
_atom_site_fract_x
_atom_site_fract_y
_atom_site_fract_z
Tb1 Tb 0.0000 0.0000 0.0000
Be1 Be 0.5000 0.5000 0.5000
Ga1 Ga 0.2517 0.2517 0.2517
Ga2 Ga 0.7483 0.7483 0.7483
Au1 Au 0.1406 0.1406 0.1406
Au2 Au 0.4014 0.4014 0.4014
Au3 Au 0.5986 0.5986 0.5986
Au4 Au 0.8594 0.8594 0.8594
```

No. 3
Entry from Alexandria: a relaxed Tb2BeGa3Au4 crystal (GGA-PBE).

Values from the calculation:
As for the energy of formation from the pure elements: -0.55 eV/atom. As for the symmetry: P-4m2, No. 115. The spin magnetization is 0.0000 μB/atom.

```
data_Tb2BeGa3Au4
_chemical_formula_sum 'Tb2 Be1 Ga3 Au4'
_symmetry_space_group_name_H-M 'P 1'
_symmetry_Int_Tables_number 1
_cell_length_a 4.3198
_cell_length_b 4.3198
_cell_length_c 10.4037
_cell_angle_alpha 90.00
_cell_angle_beta 90.00
_cell_angle_gamma 90.00
loop_
_symmetry_equiv_pos_as_xyz
'x,y,z'
loop_
_atom_site_label
_atom_site_type_symbol
_atom_site_fract_x
_atom_site_fract_y
_atom_site_fract_z
Tb1 Tb 0.0000 0.5000 0.2392
Tb2 Tb 0.5000 0.0000 0.7608
Be1 Be 0.5000 0.5000 0.0000
Ga1 Ga 0.0000 0.0000 0.0000
Ga2 Ga 0.0000 0.5000 0.6400
Ga3 Ga 0.5000 0.0000 0.3600
Au1 Au 0.0000 0.0000 0.5000
Au2 Au 0.0000 0.5000 0.8783
Au3 Au 0.5000 0.0000 0.1217
Au4 Au 0.5000 0.5000 0.5000
```

No. 4
Entry from Alexandria: a relaxed Tb2BeGaAu6 crystal (GGA-PBE).

Values from the calculation:
As for the energy of formation from the pure elements: -0.45 eV/atom. As for the symmetry: P-1, No. 2. The spin magnetization is 0.0000 μB/atom.

```
data_Tb2BeGaAu6
_chemical_formula_sum 'Tb2 Be1 Ga1 Au6'
_symmetry_space_group_name_H-M 'P 1'
_symmetry_Int_Tables_number 1
_cell_length_a 6.0072
_cell_length_b 6.2520
_cell_length_c 7.1298
_cell_angle_alpha 65.46
_cell_angle_beta 66.27
_cell_angle_gamma 62.21
loop_
_symmetry_equiv_pos_as_xyz
'x,y,z'
loop_
_atom_site_label
_atom_site_type_symbol
_atom_site_fract_x
_atom_site_fract_y
_atom_site_fract_z
Tb1 Tb 0.2148 0.3576 0.2135
Tb2 Tb 0.7852 0.6424 0.7865
Be1 Be 0.5000 0.5000 0.5000
Ga1 Ga 0.0000 0.0000 0.0000
Au1 Au 0.1677 0.8124 0.3485
Au2 Au 0.2681 0.6919 0.7722
Au3 Au 0.3291 0.1861 0.6587
Au4 Au 0.6709 0.8139 0.3413
Au5 Au 0.7319 0.3081 0.2278
Au6 Au 0.8323 0.1876 0.6515
```

No. 5
Entry from Alexandria: a relaxed Tb2BeGa4Au3 crystal (GGA-PBE).

Values from the calculation:
As for the energy of formation from the pure elements: -0.52 eV/atom. As for the symmetry: P-4m2, No. 115. The spin magnetization is 0.0000 μB/atom.

```
data_Tb2BeGa4Au3
_chemical_formula_sum 'Tb2 Be1 Ga4 Au3'
_symmetry_space_group_name_H-M 'P 1'
_symmetry_Int_Tables_number 1
_cell_length_a 4.1733
_cell_length_b 4.1733
_cell_length_c 11.0316
_cell_angle_alpha 90.00
_cell_angle_beta 90.00
_cell_angle_gamma 90.00
loop_
_symmetry_equiv_pos_as_xyz
'x,y,z'
loop_
_atom_site_label
_atom_site_type_symbol
_atom_site_fract_x
_atom_site_fract_y
_atom_site_fract_z
Tb1 Tb 0.0000 0.5000 0.2346
Tb2 Tb 0.5000 0.0000 0.7654
Be1 Be 0.5000 0.5000 0.0000
Ga1 Ga 0.0000 0.0000 0.5000
Ga2 Ga 0.0000 0.5000 0.8715
Ga3 Ga 0.5000 0.0000 0.1285
Ga4 Ga 0.5000 0.5000 0.5000
Au1 Au 0.0000 0.0000 0.0000
Au2 Au 0.0000 0.5000 0.6442
Au3 Au 0.5000 0.0000 0.3558
```

No. 6
Entry from Alexandria: a relaxed BeGa2TcAu crystal (GGA-PBE).

Values from the calculation:
As for the energy of formation from the pure elements: 1.28 eV/atom. As for the symmetry: P4/mmm, No. 123. The spin magnetization is 0.6241 μB/atom.

```
data_BeGa2TcAu
_chemical_formula_sum 'Be1 Ga2 Tc1 Au1'
_symmetry_space_group_name_H-M 'P 1'
_symmetry_Int_Tables_number 1
_cell_length_a 4.7353
_cell_length_b 4.7353
_cell_length_c 5.3232
_cell_angle_alpha 90.00
_cell_angle_beta 90.00
_cell_angle_gamma 90.00
loop_
_symmetry_equiv_pos_as_xyz
'x,y,z'
loop_
_atom_site_label
_atom_site_type_symbol
_atom_site_fract_x
_atom_site_fract_y
_atom_site_fract_z
Be1 Be 0.0000 0.0000 0.0000
Ga1 Ga 0.0000 0.5000 0.5000
Ga2 Ga 0.5000 0.0000 0.5000
Tc1 Tc 0.5000 0.5000 0.0000
Au1 Au 0.5000 0.5000 0.5000
```

No. 7
Entry from Alexandria: a relaxed Tm2Be3GaAu4 crystal (GGA-PBE).

Values from the calculation:
As for the energy of formation from the pure elements: -0.48 eV/atom. As for the symmetry: P-4m2, No. 115. The spin magnetization is 0.0000 μB/atom.

```
data_Tm2Be3GaAu4
_chemical_formula_sum 'Tm2 Be3 Ga1 Au4'
_symmetry_space_group_name_H-M 'P 1'
_symmetry_Int_Tables_number 1
_cell_length_a 4.2587
_cell_length_b 4.2587
_cell_length_c 9.4472
_cell_angle_alpha 90.00
_cell_angle_beta 90.00
_cell_angle_gamma 90.00
loop_
_symmetry_equiv_pos_as_xyz
'x,y,z'
loop_
_atom_site_label
_atom_site_type_symbol
_atom_site_fract_x
_atom_site_fract_y
_atom_site_fract_z
Tm1 Tm 0.0000 0.5000 0.2493
Tm2 Tm 0.5000 0.0000 0.7507
Be1 Be 0.0000 0.0000 0.0000
Be2 Be 0.0000 0.5000 0.6123
Be3 Be 0.5000 0.0000 0.3877
Ga1 Ga 0.5000 0.5000 0.0000
Au1 Au 0.0000 0.0000 0.5000
Au2 Au 0.0000 0.5000 0.8538
Au3 Au 0.5000 0.0000 0.1462
Au4 Au 0.5000 0.5000 0.5000
```

No. 8
Entry from Alexandria: a relaxed YBeGa2Au5 crystal (GGA-PBE).

Values from the calculation:
As for the energy of formation from the pure elements: -0.28 eV/atom. As for the symmetry: Immm, No. 71. The spin magnetization is 0.0000 μB/atom.

```
data_YBeGa2Au5
_chemical_formula_sum 'Y1 Be1 Ga2 Au5'
_symmetry_space_group_name_H-M 'P 1'
_symmetry_Int_Tables_number 1
_cell_length_a 7.5521
_cell_length_b 7.5521
_cell_length_c 7.5521
_cell_angle_alpha 145.45
_cell_angle_beta 132.71
_cell_angle_gamma 59.87
loop_
_symmetry_equiv_pos_as_xyz
'x,y,z'
loop_
_atom_site_label
_atom_site_type_symbol
_atom_site_fract_x
_atom_site_fract_y
_atom_site_fract_z
Y1 Y 0.0000 0.0000 0.0000
Be1 Be 0.5000 0.5000 0.0000
Ga1 Ga 0.3013 0.8013 0.5000
Ga2 Ga 0.6987 0.1987 0.5000
Au1 Au 0.1021 0.3646 0.7375
Au2 Au 0.3729 0.6354 0.7375
Au3 Au 0.5000 0.0000 0.5000
Au4 Au 0.6271 0.3646 0.2625
Au5 Au 0.8979 0.6354 0.2625
```

No. 9
Entry from Alexandria: a relaxed Y2BeGa3Au4 crystal (GGA-PBE).

Values from the calculation:
As for the energy of formation from the pure elements: -0.55 eV/atom. As for the symmetry: P-4m2, No. 115. The spin magnetization is 0.0000 μB/atom.

```
data_Y2BeGa3Au4
_chemical_formula_sum 'Y2 Be1 Ga3 Au4'
_symmetry_space_group_name_H-M 'P 1'
_symmetry_Int_Tables_number 1
_cell_length_a 4.3127
_cell_length_b 4.3127
_cell_length_c 10.4241
_cell_angle_alpha 90.00
_cell_angle_beta 90.00
_cell_angle_gamma 90.00
loop_
_symmetry_equiv_pos_as_xyz
'x,y,z'
loop_
_atom_site_label
_atom_site_type_symbol
_atom_site_fract_x
_atom_site_fract_y
_atom_site_fract_z
Y1 Y 0.0000 0.5000 0.2393
Y2 Y 0.5000 0.0000 0.7607
Be1 Be 0.5000 0.5000 0.0000
Ga1 Ga 0.0000 0.0000 0.0000
Ga2 Ga 0.0000 0.5000 0.6402
Ga3 Ga 0.5000 0.0000 0.3598
Au1 Au 0.0000 0.0000 0.5000
Au2 Au 0.0000 0.5000 0.8781
Au3 Au 0.5000 0.0000 0.1219
Au4 Au 0.5000 0.5000 0.5000
```

No. 10
Entry from Alexandria: a relaxed Y2BeGaAu6 crystal (GGA-PBE).

Values from the calculation:
As for the energy of formation from the pure elements: -0.46 eV/atom. As for the symmetry: P-1, No. 2. The spin magnetization is 0.0000 μB/atom.

```
data_Y2BeGaAu6
_chemical_formula_sum 'Y2 Be1 Ga1 Au6'
_symmetry_space_group_name_H-M 'P 1'
_symmetry_Int_Tables_number 1
_cell_length_a 5.5807
_cell_length_b 6.4575
_cell_length_c 6.9060
_cell_angle_alpha 74.36
_cell_angle_beta 66.25
_cell_angle_gamma 65.26
loop_
_symmetry_equiv_pos_as_xyz
'x,y,z'
loop_
_atom_site_label
_atom_site_type_symbol
_atom_site_fract_x
_atom_site_fract_y
_atom_site_fract_z
Y1 Y 0.2120 0.2614 0.3035
Y2 Y 0.7880 0.7386 0.6965
Be1 Be 0.0000 0.0000 0.0000
Ga1 Ga 0.5000 0.5000 0.5000
Au1 Au 0.2195 0.8030 0.2567
Au2 Au 0.2433 0.6236 0.8953
Au3 Au 0.2864 0.1885 0.7423
Au4 Au 0.7136 0.8115 0.2577
Au5 Au 0.7567 0.3764 0.1047
Au6 Au 0.7805 0.1970 0.7433
```

No. 11
Entry from Alexandria: a relaxed Gd2BeAu crystal (GGA-PBE).

Values from the calculation:
As for the energy of formation from the pure elements: -0.35 eV/atom. As for the symmetry: P4/mmm, No. 123. The spin magnetization is 3.5880 μB/atom.

```
data_Gd2BeAu
_chemical_formula_sum 'Gd2 Be1 Au1'
_symmetry_space_group_name_H-M 'P 1'
_symmetry_Int_Tables_number 1
_cell_length_a 3.5693
_cell_length_b 3.5693
_cell_length_c 6.9956
_cell_angle_alpha 90.00
_cell_angle_beta 90.00
_cell_angle_gamma 90.00
loop_
_symmetry_equiv_pos_as_xyz
'x,y,z'
loop_
_atom_site_label
_atom_site_type_symbol
_atom_site_fract_x
_atom_site_fract_y
_atom_site_fract_z
Gd1 Gd 0.0000 0.0000 0.2356
Gd2 Gd 0.0000 0.0000 0.7644
Be1 Be 0.5000 0.5000 0.0000
Au1 Au 0.5000 0.5000 0.5000
```

No. 12
Entry from Alexandria: a relaxed Gd2BeAu crystal (GGA-PBE).

Values from the calculation:
As for the energy of formation from the pure elements: -0.30 eV/atom. As for the symmetry: Fm-3m, No. 225. The spin magnetization is 3.5323 μB/atom.

```
data_Gd2BeAu
_chemical_formula_sum 'Gd2 Be1 Au1'
_symmetry_space_group_name_H-M 'P 1'
_symmetry_Int_Tables_number 1
_cell_length_a 5.0525
_cell_length_b 5.0525
_cell_length_c 5.0525
_cell_angle_alpha 60.00
_cell_angle_beta 60.00
_cell_angle_gamma 60.00
loop_
_symmetry_equiv_pos_as_xyz
'x,y,z'
loop_
_atom_site_label
_atom_site_type_symbol
_atom_site_fract_x
_atom_site_fract_y
_atom_site_fract_z
Gd1 Gd 0.2500 0.2500 0.2500
Gd2 Gd 0.7500 0.7500 0.7500
Be1 Be 0.0000 0.0000 0.0000
Au1 Au 0.5000 0.5000 0.5000
```

No. 13
Entry from Alexandria: a relaxed GdBeAu3 crystal (GGA-PBE).

Values from the calculation:
As for the energy of formation from the pure elements: -0.46 eV/atom. As for the symmetry: Pm-3m, No. 221. The spin magnetization is 1.4307 μB/atom.

```
data_GdBeAu3
_chemical_formula_sum 'Gd1 Be1 Au3'
_symmetry_space_group_name_H-M 'P 1'
_symmetry_Int_Tables_number 1
_cell_length_a 4.5916
_cell_length_b 4.5916
_cell_length_c 4.5916
_cell_angle_alpha 90.00
_cell_angle_beta 90.00
_cell_angle_gamma 90.00
loop_
_symmetry_equiv_pos_as_xyz
'x,y,z'
loop_
_atom_site_label
_atom_site_type_symbol
_atom_site_fract_x
_atom_site_fract_y
_atom_site_fract_z
Gd1 Gd 0.0000 0.0000 0.0000
Be1 Be 0.5000 0.5000 0.5000
Au1 Au 0.0000 0.5000 0.5000
Au2 Au 0.5000 0.0000 0.5000
Au3 Au 0.5000 0.5000 0.0000
```